! Ca3VPd, optimized geometry, DFT PBE-GGA; values from VASP
&SYSTEM
  ibrav = 0, nat = 5, ntyp = 3
/
ATOMIC_SPECIES
Ca 40.08 Ca.upf
V 50.94 V.upf
Pd 106.42 Pd.upf
ATOMIC_POSITIONS crystal
Ca 0.0000 0.0000 0.5000
Ca 0.0000 0.5000 0.0000
Ca 0.5000 0.0000 0.0000
V 0.5000 0.5000 0.5000
Pd 0.0000 0.0000 0.0000
CELL_PARAMETERS angstrom
5.5060 0.0000 0.0000
0.0000 5.5060 0.0000
0.0000 0.0000 5.5060
! Electronic total energy ... -3.80 eV/atom
! ΔE_f ... 0.26 eV/atom
! DOS at the Fermi energy ... 1.06 states/eV/atom

***

! SrPr5Pb5, optimized geometry, DFT PBE-GGA; values from VASP
&SYSTEM
  ibrav = 0, nat = 11, ntyp = 3
/
ATOMIC_SPECIES
Sr 87.62 Sr.upf
Pr 140.91 Pr.upf
Pb 207.20 Pb.upf
ATOMIC_POSITIONS crystal
Sr 0.0000 0.0000 0.0000
Pr 0.0000 0.0000 0.5000
Pr 0.3311 0.3311 0.1672
Pr 0.3421 0.3421 0.6627
Pr 0.6579 0.6579 0.3372
Pr 0.6689 0.6689 0.8328
Pb 0.1659 0.1659 0.3410
Pb 0.1815 0.1815 0.8322
Pb 0.5000 0.5000 0.0000
Pb 0.8185 0.8185 0.1678
Pb 0.8341 0.8341 0.6590
CELL_PARAMETERS angstrom
6.4610 -3.2670 0.0000
6.4610 3.2670 0.0000
-4.2142 0.0000 9.6081
! Electronic total energy ... -4.32 eV/atom
! ΔE_f ... -0.31 eV/atom
! DOS at the Fermi energy ... 0.90 states/eV/atom

***

! Tm3CN2, optimized geometry, DFT PBE-GGA; values from VASP
&SYSTEM
  ibrav = 0, nat = 6, ntyp = 3
/
ATOMIC_SPECIES
Tm 168.93 Tm.upf
C 12.01 C.upf
N 14.01 N.upf
ATOMIC_POSITIONS crystal
Tm 0.0000 0.0000 0.0000
Tm 0.3270 0.3270 0.0000
Tm 0.6730 0.6730 0.0000
C 0.5000 0.0000 0.5000
N 0.1677 0.6677 0.5000
N 0.8323 0.3323 0.5000
CELL_PARAMETERS angstrom
-1.7091 2.4332 5.2050
1.7091 -2.4332 5.2050
1.7091 2.4332 -5.2050
! Electronic total energy ... -7.76 eV/atom
! DOS at the Fermi energy ... 0.37 states/eV/atom

***

! NiHgS2, optimized geometry, DFT PBE-GGA; values from VASP
&SYSTEM
  ibrav = 0, nat = 8, ntyp = 3
/
ATOMIC_SPECIES
Ni 58.69 Ni.upf
Hg 200.59 Hg.upf
S 32.06 S.upf
ATOMIC_POSITIONS crystal
Ni 0.0000 0.0000 0.0000
Ni 0.7500 0.2500 0.5000
Hg 0.2500 0.7500 0.5000
Hg 0.5000 0.5000 0.0000
S 0.0549 0.6250 0.9299
S 0.3750 0.3049 0.4299
S 0.6951 0.1250 0.0701
S 0.8750 0.9451 0.5701
CELL_PARAMETERS angstrom
-2.8324 2.8324 5.2330
2.8324 -2.8324 5.2330
2.8324 2.8324 -5.2330
! Electronic total energy ... -3.76 eV/atom
! DOS at the Fermi energy ... 0.14 states/eV/atom

***

! AsPd2WAu, optimized geometry, DFT PBE-GGA; values from VASP
&SYSTEM
  ibrav = 0, nat = 5, ntyp = 4
/
ATOMIC_SPECIES
As 74.92 As.upf
Pd 106.42 Pd.upf
W 183.84 W.upf
Au 196.97 Au.upf
ATOMIC_POSITIONS crystal
As 0.0000 0.0000 0.0000
Pd 0.0000 0.5000 0.0000
Pd 0.5000 0.0000 0.0000
W 0.5000 0.5000 0.5000
Au 0.0000 0.0000 0.5000
CELL_PARAMETERS angstrom
4.6205 0.0000 0.0000
0.0000 4.6205 0.0000
0.0000 0.0000 4.7854
! Electronic total energy ... -5.21 eV/atom
! ΔE_f ... 1.04 eV/atom
! DOS at the Fermi energy ... 0.58 states/eV/atom

***

! Pr2Zn12Cu5, optimized geometry, DFT PBE-GGA; values from VASP
&SYSTEM
  ibrav = 0, nat = 19, ntyp = 3
/
ATOMIC_SPECIES
Pr 140.91 Pr.upf
Zn 65.41 Zn.upf
Cu 63.55 Cu.upf
ATOMIC_POSITIONS crystal
Pr 0.1619 0.1619 0.1619
Pr 0.8381 0.8381 0.8381
Zn 0.1564 0.1564 0.6457
Zn 0.1564 0.6457 0.1564
Zn 0.2138 0.5000 0.7862
Zn 0.2138 0.7862 0.5000
Zn 0.3543 0.8436 0.8436
Zn 0.5000 0.2138 0.7862
Zn 0.5000 0.7862 0.2138
Zn 0.6457 0.1564 0.1564
Zn 0.7862 0.2138 0.5000
Zn 0.7862 0.5000 0.2138
Zn 0.8436 0.3543 0.8436
Zn 0.8436 0.8436 0.3543
Cu 0.0000 0.5000 0.5000
Cu 0.4000 0.4000 0.4000
Cu 0.5000 0.0000 0.5000
Cu 0.5000 0.5000 0.0000
Cu 0.6000 0.6000 0.6000
CELL_PARAMETERS angstrom
4.4673 2.5792 4.3737
-4.4673 2.5792 4.3737
0.0000 -5.1584 4.3737
! Electronic total energy ... -2.62 eV/atom
! ΔE_f ... -0.24 eV/atom
! DOS at the Fermi energy ... 0.41 states/eV/atom

***

! La7NdY12, optimized geometry, DFT PBE-GGA; values from VASP
&SYSTEM
  ibrav = 0, nat = 20, ntyp = 3
/
ATOMIC_SPECIES
La 138.91 La.upf
Nd 144.24 Nd.upf
Y 88.91 Y.upf
ATOMIC_POSITIONS crystal
La 0.0000 0.0000 0.5000
La 0.0000 0.5000 0.0000
La 0.0000 0.5000 0.5000
La 0.5000 0.0000 0.0000
La 0.5000 0.0000 0.5000
La 0.5000 0.5000 0.0000
La 0.5000 0.5000 0.5000
Nd 0.0000 0.0000 0.0000
Y 0.0000 0.2487 0.7513
Y 0.0000 0.7513 0.2487
Y 0.2487 0.0000 0.7513
Y 0.2487 0.2487 0.4974
Y 0.2487 0.4974 0.2487
Y 0.2487 0.7513 0.0000
Y 0.4974 0.2487 0.2487
Y 0.5026 0.7513 0.7513
Y 0.7513 0.0000 0.2487
Y 0.7513 0.2487 0.0000
Y 0.7513 0.5026 0.7513
Y 0.7513 0.7513 0.5026
CELL_PARAMETERS angstrom
-5.7010 5.7010 5.7010
5.7010 -5.7010 5.7010
5.7010 5.7010 -5.7010
! Electronic total energy ... -5.25 eV/atom
! ΔE_f ... 0.59 eV/atom
! DOS at the Fermi energy ... 1.56 states/eV/atom

***

! Dy5Pd2Rh2, optimized geometry, DFT PBE-GGA; values from VASP
&SYSTEM
  ibrav = 0, nat = 18, ntyp = 3
/
ATOMIC_SPECIES
Dy 162.50 Dy.upf
Pd 106.42 Pd.upf
Rh 102.91 Rh.upf
ATOMIC_POSITIONS crystal
Dy 0.0000 0.0000 0.0000
Dy 0.0380 0.6944 0.6679
Dy 0.1944 0.5380 0.1679
Dy 0.3056 0.9620 0.6679
Dy 0.4620 0.8056 0.1679
Dy 0.5000 0.5000 0.5000
Dy 0.5380 0.1944 0.8321
Dy 0.6944 0.0380 0.3321
Dy 0.8056 0.4620 0.8321
Dy 0.9620 0.3056 0.3321
Pd 0.2057 0.2057 0.0000
Pd 0.2943 0.2943 0.5000
Pd 0.7057 0.7057 0.5000
Pd 0.7943 0.7943 0.0000
Rh 0.1335 0.8665 0.3673
Rh 0.3665 0.6335 0.8673
Rh 0.6335 0.3665 0.1327
Rh 0.8665 0.1335 0.6327
CELL_PARAMETERS angstrom
7.3783 -3.7417 0.0000
7.3783 3.7417 0.0000
0.0000 0.0000 7.5116
! Electronic total energy ... -6.15 eV/atom
! ΔE_f ... -0.80 eV/atom
! DOS at the Fermi energy ... 0.51 states/eV/atom